--- i ---
Below is a relaxed LaPmPd3 crystal, with properties calculated at the PBE level.

Computed properties:
ρ, Mg/m³: 8.49
Size of the total moment, μB/cell: 0.00

Lattice parameters (Å, degrees): 4.3881 3.9189 13.8550 98.13 90.00 90.00
Fractional positions:
La: 0.7500 0.9279 0.8559
La: 0.2500 0.0721 0.1441
Pm: 0.7500 0.2045 0.4091
Pm: 0.2500 0.7955 0.5909
Pd: 0.7500 0.6238 0.2476
Pd: 0.2500 0.3762 0.7524
Pd: 0.7500 0.5274 0.0548
Pd: 0.7500 0.3146 0.6292
Pd: 0.2500 0.4726 0.9452
Pd: 0.2500 0.6854 0.3708

=====

--- ii ---
Below is a relaxed LaPmPd3 crystal, with properties calculated at the PBE level.

Computed properties:
ρ, Mg/m³: 8.78
Size of the total moment, μB/cell: 0.00

Lattice parameters (Å, degrees): 7.0375 8.0319 8.0692 90.00 90.00 90.00
Fractional positions:
Pd: 0.0000 0.0000 0.2556
Pd: 0.3832 0.8560 0.7479
Pd: 0.6168 0.1440 0.2521
Pd: 0.8832 0.6440 0.2479
Pd: 0.5000 0.5000 0.7556
Pd: 0.6169 0.1440 0.7479
Pd: 0.1169 0.3560 0.2479
Pd: 0.3831 0.8560 0.2521
Pd: 0.5000 0.5000 0.2444
Pd: 0.1168 0.3560 0.7521
Pd: 0.0000 0.0000 0.7444
Pd: 0.8831 0.6440 0.7521
Pm: 0.7174 0.8651 0.5000
Pm: 0.2174 0.6349 0.0000
Pm: 0.2826 0.1349 0.5000
Pm: 0.7826 0.3651 0.0000
La: 0.2799 0.1363 0.0000
La: 0.2201 0.6363 0.5000
La: 0.7799 0.3637 0.5000
La: 0.7201 0.8637 0.0000

=====

Stability summary - winner: ii; margin: 9 meV per atom.

=====

--- i ---
Below is a relaxed La2Pm3Pd4 crystal, with properties calculated at the PBE level.

Computed properties:
ρ, Mg/m³: 8.00
Size of the total moment, μB/cell: 0.00

Lattice parameters (Å, degrees): 8.2874 7.7310 7.7708 90.00 90.00 108.40
Fractional positions:
La: 0.5955 0.2002 0.3257
La: 0.4045 0.7998 0.6743
La: 0.9045 0.7998 0.8257
La: 0.0955 0.2002 0.1743
Pm: 0.0000 0.5000 0.5000
Pm: 0.2486 0.7583 0.1628
Pm: 0.7486 0.7583 0.3372
Pm: 0.2514 0.2417 0.6627
Pm: 0.7514 0.2417 0.8372
Pm: 0.5000 0.5000 0.0000
Pd: 0.1242 0.5003 0.8693
Pd: 0.3758 0.4997 0.3693
Pd: 0.6245 0.9072 0.0367
Pd: 0.3755 0.0928 0.9633
Pd: 0.8758 0.4997 0.1307
Pd: 0.1245 0.9072 0.4633
Pd: 0.6242 0.5003 0.6307
Pd: 0.8755 0.0928 0.5367

=====

--- ii ---
Below is a relaxed La2Pm3Pd4 crystal, with properties calculated at the PBE level.

Computed properties:
ρ, Mg/m³: 7.84
Size of the total moment, μB/cell: 0.00

Lattice parameters (Å, degrees): 7.2992 7.8395 9.1866 90.00 113.41 90.00
Fractional positions:
Pm: 0.9694 0.2500 0.4388
Pm: 0.5306 0.7500 0.5612
Pm: 0.5000 0.5000 0.0000
Pm: 0.0000 0.0000 0.0000
Pm: 0.4694 0.2500 0.4388
Pm: 0.0306 0.7500 0.5612
Pd: 0.2047 0.7500 0.9094
Pd: 0.1805 0.9504 0.3610
Pd: 0.7953 0.2500 0.0906
Pd: 0.6805 0.5496 0.3610
Pd: 0.3195 0.4504 0.6390
Pd: 0.7047 0.7500 0.9094
Pd: 0.8195 0.0496 0.6390
Pd: 0.2953 0.2500 0.0906
La: 0.4039 0.0960 0.8077
La: 0.0961 0.5960 0.1923
La: 0.9039 0.4040 0.8077
La: 0.5961 0.9040 0.1923

=====

Stability summary - winner: i; margin: 113 meV per atom.

=====

--- i ---
Below is a relaxed LaPm2Pd2 crystal, with properties calculated at the PBE level.

Computed properties:
ρ, Mg/m³: 7.46
Size of the total moment, μB/cell: 0.00

Lattice parameters (Å, degrees): 4.7725 5.6365 10.7284 81.77 90.00 90.00
Fractional positions:
Pd: 0.2500 0.3466 0.9773
Pd: 0.7500 0.6534 0.0227
Pd: 0.7500 0.3108 0.3666
Pd: 0.2500 0.6892 0.6334
Pm: 0.2500 0.2250 0.5311
Pm: 0.7500 0.7750 0.4689
Pm: 0.2500 0.8837 0.8822
Pm: 0.7500 0.1163 0.1178
La: 0.2500 0.5728 0.2168
La: 0.7500 0.4272 0.7832

=====

--- ii ---
Below is a relaxed LaPm2Pd2 crystal, with properties calculated at the PBE level.

Computed properties:
ρ, Mg/m³: 8.10
Size of the total moment, μB/cell: 0.00

Lattice parameters (Å, degrees): 4.0125 8.0976 8.0976 90.00 90.00 90.00
Fractional positions:
Pd: 0.5000 0.1269 0.8731
Pd: 0.5000 0.3731 0.3731
Pd: 0.5000 0.6269 0.6269
Pd: 0.5000 0.8731 0.1269
Pm: 0.0000 0.1643 0.1643
Pm: 0.0000 0.6643 0.3357
Pm: 0.0000 0.8357 0.8357
Pm: 0.0000 0.3357 0.6643
La: 0.5000 0.5000 0.0000
La: 0.5000 0.0000 0.5000

=====

Stability summary - winner: ii; margin: 21 meV per atom.

=====

--- i ---
Below is a relaxed LaPmZnPd crystal, with properties calculated at the PBE level.

Computed properties:
ρ, Mg/m³: 7.60
Size of the total moment, μB/cell: 0.00

Lattice parameters (Å, degrees): 5.2033 5.2033 5.2033 60.00 60.00 60.00
Fractional positions:
Zn: 0.0000 0.0000 0.0000
La: 0.2500 0.2500 0.2500
Pm: 0.7500 0.7500 0.7500
Pd: 0.5000 0.5000 0.5000

=====

--- ii ---
Below is a relaxed LaPmZnPd crystal, with properties calculated at the PBE level.

Computed properties:
ρ, Mg/m³: 7.35
Size of the total moment, μB/cell: 0.00

Lattice parameters (Å, degrees): 3.9527 4.5751 6.0267 90.00 109.14 90.00
Fractional positions:
La: 0.8579 0.5000 0.7159
Zn: 0.5749 0.5000 0.1498
Pm: 0.1363 0.0000 0.2726
Pd: 0.4309 0.0000 0.8617

=====

Stability summary - winner: ii; margin: 43 meV per atom.

=====

--- i ---
Below is a relaxed La3PrPd crystal, with properties calculated at the PBE level.

Computed properties:
ρ, Mg/m³: 6.57
Size of the total moment, μB/cell: 0.00

Lattice parameters (Å, degrees): 7.2109 7.2702 6.4153 90.00 86.81 90.00
Fractional positions:
La: 0.4037 0.2500 0.5500
La: 0.5963 0.7500 0.4500
La: 0.7367 0.0000 0.9288
La: 0.2633 0.0000 0.0712
La: 0.2633 0.5000 0.0712
La: 0.7367 0.5000 0.9288
Pr: 0.9055 0.2500 0.3886
Pr: 0.0945 0.7500 0.6114
Pd: 0.9540 0.7500 0.1861
Pd: 0.0460 0.2500 0.8139

=====

--- ii ---
Below is a relaxed La3PrPd crystal, with properties calculated at the PBE level.

Computed properties:
ρ, Mg/m³: 6.46
Size of the total moment, μB/cell: 0.00

Lattice parameters (Å, degrees): 6.1782 7.9882 7.9882 120.00 90.00 90.00
Fractional positions:
Pr: 0.7499 0.6667 0.3334
Pr: 0.2501 0.3333 0.6666
La: 0.2500 0.8167 0.6334
La: 0.7500 0.1833 0.3666
La: 0.2500 0.3666 0.1833
La: 0.7500 0.6334 0.8167
La: 0.2500 0.8167 0.1833
La: 0.7500 0.1833 0.8167
Pd: 0.0000 0.0000 0.0000
Pd: 0.5000 0.0000 0.0000

=====

Stability summary - winner: i; margin: 49 meV per atom.

=====

--- i ---
Below is a relaxed LaPrPd crystal, with properties calculated at the PBE level.

Computed properties:
ρ, Mg/m³: 7.60
Size of the total moment, μB/cell: 0.00

Lattice parameters (Å, degrees): 4.1113 4.8688 4.8688 120.00 90.00 90.00
Fractional positions:
La: 0.2923 0.3333 0.6667
Pr: 0.7171 0.6667 0.3333
Pd: 0.9905 0.0000 0.0000

=====

--- ii ---
Below is a relaxed LaPrPd crystal, with properties calculated at the PBE level.

Computed properties:
ρ, Mg/m³: 6.96
Size of the total moment, μB/cell: 0.00

Lattice parameters (Å, degrees): 7.3770 6.5969 7.5786 90.00 90.00 90.11
Fractional positions:
La: 0.5000 0.0793 0.2498
La: 0.0000 0.9207 0.7498
La: 0.0000 0.0793 0.2502
La: 0.5000 0.9207 0.7502
Pr: 0.2496 0.3974 0.8990
Pr: 0.7504 0.6026 0.1010
Pr: 0.2504 0.6026 0.3990
Pr: 0.7496 0.3974 0.6010
Pd: 0.7509 0.1897 0.9518
Pd: 0.7491 0.8103 0.4518
Pd: 0.2491 0.8103 0.0482
Pd: 0.2509 0.1897 0.5482

=====

Stability summary - winner: ii; margin: 136 meV per atom.

=====

--- i ---
Below is a relaxed LaPrPd crystal, with properties calculated at the PBE level.

Computed properties:
ρ, Mg/m³: 6.84
Size of the total moment, μB/cell: 0.02

Lattice parameters (Å, degrees): 5.1006 5.1006 5.1006 60.00 60.00 60.00
Fractional positions:
La: 0.0000 0.0000 0.0000
Pd: 0.2500 0.2500 0.2500
Pr: 0.5000 0.5000 0.5000

=====

--- ii ---
Below is a relaxed LaPrPd crystal, with properties calculated at the PBE level.

Computed properties:
ρ, Mg/m³: 7.33
Size of the total moment, μB/cell: 0.80

Lattice parameters (Å, degrees): 3.7291 3.7291 6.8253 105.85 105.85 90.00
Site moments in Bohr magnetons follow the coordinates.
Fractional positions:
Pr: 0.0283 0.0283 0.0567  0.18
Pd: 0.6677 0.6677 0.3354  0.03
La: 0.3040 0.3040 0.6079  0.15

=====

Stability summary - winner: ii; margin: 86 meV per atom.

=====

--- i ---
Below is a relaxed LaPrPd2 crystal, with properties calculated at the PBE level.

Computed properties:
ρ, Mg/m³: 7.42
Size of the total moment, μB/cell: 0.00

Lattice parameters (Å, degrees): 4.1905 4.1905 7.6457 74.10 74.10 60.00
Fractional positions:
Pd: 0.0846 0.0846 0.7461
Pd: 0.2483 0.2483 0.2551
Pr: 0.6698 0.6698 0.9907
La: 0.4973 0.4973 0.5081

=====

--- ii ---
Below is a relaxed LaPrPd2 crystal, with properties calculated at the PBE level.

Computed properties:
ρ, Mg/m³: 8.33
Size of the total moment, μB/cell: 0.00

Lattice parameters (Å, degrees): 3.6023 5.2228 5.2228 90.00 90.00 90.00
Fractional positions:
Pd: 0.0000 0.0000 0.5000
Pd: 0.0000 0.5000 0.0000
Pr: 0.5000 0.5000 0.5000
La: 0.5000 0.0000 0.0000

=====

--- iii ---
Below is a relaxed LaPrPd2 crystal, with properties calculated at the PBE level.

Computed properties:
ρ, Mg/m³: 8.29
Size of the total moment, μB/cell: 0.00

Lattice parameters (Å, degrees): 5.1868 5.1868 5.1868 60.00 60.00 60.00
Fractional positions:
Pr: 0.0000 0.0000 0.0000
Pd: 0.7500 0.7500 0.7500
Pd: 0.2500 0.2500 0.2500
La: 0.5000 0.5000 0.5000

=====

--- iv ---
Below is a relaxed LaPrPd2 crystal, with properties calculated at the PBE level.

Computed properties:
ρ, Mg/m³: 8.02
Size of the total moment, μB/cell: 0.00

Lattice parameters (Å, degrees): 3.9602 4.6667 5.8680 90.00 109.76 90.00
Fractional positions:
Pd: 0.1695 0.5000 0.8781
Pd: 0.9956 0.0000 0.5302
Pr: 0.4471 0.5000 0.4338
La: 0.7188 0.0000 0.9759

=====

Stability summary - winner: iv; margin: 75 meV per atom.

=====

--- i ---
Below is a relaxed LaPd4Pt2 crystal, with properties calculated at the PBE level.

Computed properties:
ρ, Mg/m³: 9.33
Size of the total moment, μB/cell: 0.00

Lattice parameters (Å, degrees): 6.2817 6.2817 6.2817 99.85 99.85 131.14
Fractional positions:
Pt: 0.7500 0.2500 0.5000
Pt: 0.2500 0.7500 0.5000
Pd: 0.5000 0.7213 0.2213
Pd: 0.2787 0.5000 0.7787
Pd: 0.5000 0.2787 0.7787
Pd: 0.7213 0.5000 0.2213
La: 0.0000 0.0000 0.0000

=====

--- ii ---
Below is a relaxed LaPd4Pt2 crystal, with properties calculated at the PBE level.

Computed properties:
ρ, Mg/m³: 12.65
Size of the total moment, μB/cell: 0.00

Lattice parameters (Å, degrees): 5.3917 5.5172 5.5172 76.32 60.92 60.92
Fractional positions:
Pd: 0.7046 0.5906 0.0000
Pd: 0.2953 0.4094 0.0000
Pd: 0.2953 0.0000 0.4094
Pd: 0.7047 0.0000 0.5906
Pt: 0.2498 0.5002 0.5002
Pt: 0.7502 0.4998 0.4998
La: 0.0000 0.0000 0.0000

=====

Stability summary - winner: ii; margin: 690 meV per atom.

=====

--- i ---
Below is a relaxed LaPdPt3 crystal, with properties calculated at the PBE level.

Computed properties:
ρ, Mg/m³: 10.01
Size of the total moment, μB/cell: 0.00

Lattice parameters (Å, degrees): 5.1642 5.1642 5.1642 90.00 90.00 90.00
Fractional positions:
Pt: 0.0000 0.5000 0.0000
Pt: 0.0000 0.0000 0.5000
Pt: 0.5000 0.0000 0.0000
Pd: 0.5000 0.5000 0.5000
La: 0.0000 0.0000 0.0000

=====

--- ii ---
Below is a relaxed LaPdPt3 crystal, with properties calculated at the PBE level.

Computed properties:
ρ, Mg/m³: 11.79
Size of the total moment, μB/cell: 0.00

Lattice parameters (Å, degrees): 4.8909 4.8909 4.8909 90.00 90.00 90.00
Fractional positions:
Pt: 0.0000 0.0000 0.5000
Pt: 0.0000 0.5000 0.0000
Pt: 0.5000 0.0000 0.0000
Pd: 0.0000 0.0000 0.0000
La: 0.5000 0.5000 0.5000

=====

Stability summary - winner: ii; margin: 1033 meV per atom.

=====

--- i ---
Below is a relaxed LaSmPdPt crystal, with properties calculated at the PBE level.

Computed properties:
ρ, Mg/m³: 10.31
Size of the total moment, μB/cell: 0.00

Lattice parameters (Å, degrees): 5.1247 5.1247 5.1247 60.00 60.00 60.00
Fractional positions:
Sm: 0.0000 0.0000 0.0000
Pt: 0.7500 0.7500 0.7500
La: 0.5000 0.5000 0.5000
Pd: 0.2500 0.2500 0.2500

=====

--- ii ---
Below is a relaxed LaSmPdPt crystal, with properties calculated at the PBE level.

Computed properties:
ρ, Mg/m³: 9.96
Size of the total moment, μB/cell: 0.00

Lattice parameters (Å, degrees): 3.9135 4.6113 5.7966 90.00 109.73 90.00
Fractional positions:
Sm: 0.8651 0.5000 0.7302
Pd: 0.5870 0.5000 0.1741
Pt: 0.4108 0.0000 0.8216
La: 0.1371 0.0000 0.2742

=====

Stability summary - winner: ii; margin: 95 meV per atom.